# KMo2As2, optimized geometry, DFT PBE-GGA
# **Polymorph energy (0 for the lowest one)**: 8.92 kcal/mol of atoms
data_KMo2As2
_chemical_formula_sum 'K2 Mo4 As4'
_symmetry_space_group_name_H-M 'I 4/m m m'
_symmetry_Int_Tables_number 139
_symmetry_space_group_name_Hall '-I 4 2'
_cell_length_a 4.880
_cell_length_b 4.880
_cell_length_c 8.849
_cell_angle_alpha 90.00
_cell_angle_beta 90.00
_cell_angle_gamma 90.00
loop_
_atom_site_label
_atom_site_fract_x
_atom_site_fract_y
_atom_site_fract_z
K1 0.000 0.000 0.000
Mo1 0.000 0.000 0.375
As1 0.000 0.500 0.250


Here is a geometry-optimized Ba6CaMg structure from Alexandria. Energies are from PBE-GGA.

Structure (CIF):
```
data_Ba6CaMg
_chemical_formula_sum 'Ba12 Ca2 Mg2'
_symmetry_space_group_name_H-M 'I 4/m m m'
_symmetry_Int_Tables_number 139
_symmetry_space_group_name_Hall '-I 4 2'
_cell_length_a 6.430
_cell_length_b 6.430
_cell_length_c 21.454
_cell_angle_alpha 90.00
_cell_angle_beta 90.00
_cell_angle_gamma 90.00
loop_
_atom_site_label
_atom_site_fract_x
_atom_site_fract_y
_atom_site_fract_z
Ba1 0.000 0.000 0.247
Ba2 0.000 0.500 0.103
Ca1 0.000 0.000 0.000
Mg1 0.000 0.000 0.500
```


Here is a geometry-optimized Cr2Ni7Pd structure from Alexandria. Energies are from PBE-GGA.

Structure (CIF):
```
data_Cr2Ni7Pd
_chemical_formula_sum 'Cr4 Ni14 Pd2'
_symmetry_space_group_name_H-M 'C m m m'
_symmetry_Int_Tables_number 65
_symmetry_space_group_name_Hall '-C 2 2'
_cell_length_a 6.256
_cell_length_b 12.725
_cell_length_c 3.611
_cell_angle_alpha 90.00
_cell_angle_beta 90.00
_cell_angle_gamma 90.00
loop_
_atom_site_label
_atom_site_fract_x
_atom_site_fract_y
_atom_site_fract_z
Cr1 0.000 0.197 0.000
Ni1 0.000 0.000 0.000
Ni2 0.000 0.304 0.500
Ni3 0.191 0.392 0.000
Pd1 0.000 0.500 0.500
```


Here is a geometry-optimized Dy3TmMg12 structure from Alexandria. Energies are from PBE-GGA.

Structure (CIF):
```
data_Dy3TmMg12
_chemical_formula_sum 'Dy3 Tm1 Mg12'
_symmetry_space_group_name_H-M 'P 4/m m m'
_symmetry_Int_Tables_number 123
_symmetry_space_group_name_Hall '-P 4 2'
_cell_length_a 4.618
_cell_length_b 4.618
_cell_length_c 18.936
_cell_angle_alpha 90.00
_cell_angle_beta 90.00
_cell_angle_gamma 90.00
loop_
_atom_site_label
_atom_site_fract_x
_atom_site_fract_y
_atom_site_fract_z
Dy1 0.000 0.000 0.000
Dy2 0.000 0.000 0.251
Tm1 0.000 0.000 0.500
Mg1 0.000 0.500 0.125
Mg2 0.000 0.500 0.376
Mg3 0.500 0.500 0.000
Mg4 0.500 0.500 0.251
Mg5 0.500 0.500 0.500
```


In the order shown, the computed N(E_F) values come out to 0.645 1.688 1.381 0.782 states/eV per atom.
In the order shown, the computed theoretical density values come out to 6.00 3.33 7.18 3.90 g/cm³.
In the order shown, the computed total energy values come out to -6.32 -1.87 -5.82 -2.39 eV/atom.